(1)
## BaIn2SnIr (PBE)

Data for crystalline BaIn2SnIr at its relaxed geometry.

```
BaIn2SnIr
1.0
5.2456 0.0000 0.0000
0.0000 5.2456 0.0000
0.0000 0.0000 5.2634
Ba In Sn Ir
1 2 1 1
direct
0.0000 0.0000 0.0000 Ba
0.0000 0.5000 0.5000 In
0.5000 0.0000 0.5000 In
0.5000 0.5000 0.0000 Sn
0.5000 0.5000 0.5000 Ir
```

Properties
spin magnetization: 0.000 μB/f.u.
calculated formation energy: -23.5 kJ per mole of atoms
raw total energy: -4.2958 eV/atom
relative energy among the computed polymorphs: 0.0 kJ/mol of atoms

(2)
## BaInSnIr (PBE)

Data for crystalline BaInSnIr at its relaxed geometry.

```
BaInSnIr
1.0
4.6310 0.0000 0.0000
-2.3155 4.0106 0.0000
0.0000 0.0000 18.6581
Ba In Sn Ir
3 3 3 3
direct
0.0000 0.0000 0.0000 Ba
0.3333 0.6667 0.6667 Ba
0.6667 0.3333 0.3333 Ba
0.0000 0.0000 0.2061 In
0.3333 0.6667 0.8728 In
0.6667 0.3333 0.5394 In
0.0000 0.0000 0.4542 Sn
0.3333 0.6667 0.1209 Sn
0.6667 0.3333 0.7876 Sn
0.0000 0.0000 0.8206 Ir
0.3333 0.6667 0.4873 Ir
0.6667 0.3333 0.1539 Ir
```

Properties
spin magnetization: 0.000 μB/f.u.
calculated formation energy: -35.3 kJ per mole of atoms
raw total energy: -4.7468 eV/atom